1.
Here is a relaxed BC crystal from Alexandria. Energies are from PBE.

Geometry as POSCAR:
```
BC
1.0
-2.114 0.398 -1.355
0.226 -2.194 -0.996
-7.125 -5.101 9.614
B C
6 6
Direct
0.000 0.000 0.675
0.000 0.500 0.780
0.500 0.000 0.941
0.500 0.500 0.470
0.500 0.000 0.575
0.000 0.000 0.309
0.500 0.500 0.854
0.000 0.500 0.396
0.500 0.000 0.228
0.500 0.500 0.162
0.000 0.500 0.088
0.000 0.000 0.022
```

Properties
The calculation puts the density of states at the Fermi level at 1.63 states/eV/cell.


2.
Here is a relaxed BC crystal from Alexandria. Energies are from PBE.

Geometry as POSCAR:
```
BC
1.0
-2.248 -0.015 1.310
0.954 -3.574 1.598
3.667 3.236 6.330
B C
6 6
Direct
0.000 0.953 0.341
0.000 0.923 0.962
0.000 0.326 0.224
0.000 0.256 0.490
0.500 0.564 0.506
0.500 0.498 0.830
0.500 0.762 0.314
0.000 0.218 0.823
0.500 0.521 0.171
0.000 0.992 0.671
0.500 0.712 0.002
0.500 0.775 0.665
```

Properties
The calculation puts the density of states at the Fermi level at 2.08 states/eV/cell.


3.
Here is a relaxed BC crystal from Alexandria. Energies are from PBE.

Geometry as POSCAR:
```
BC
1.0
2.866 0.141 12.561
1.535 2.425 12.561
0.242 0.141 12.882
B C
5 5
Direct
0.397 0.397 0.397
0.526 0.526 0.526
0.626 0.626 0.626
0.788 0.788 0.788
0.147 0.147 0.147
0.355 0.355 0.355
0.189 0.189 0.189
0.965 0.965 0.965
0.009 0.009 0.009
0.748 0.748 0.748
```

Properties
The calculation puts the density of states at the Fermi level at 2.56 states/eV/cell.


4.
Here is a relaxed BC crystal from Alexandria. Energies are from PBE.

Geometry as POSCAR:
```
BC
1.0
4.575 0.093 -0.838
-2.406 3.892 -0.838
-0.052 -0.096 4.693
B C
6 6
Direct
0.812 0.154 0.499
0.984 0.058 0.972
0.654 0.312 0.999
0.558 0.484 0.472
0.070 0.664 0.154
0.164 0.570 0.654
0.887 0.865 0.620
0.360 0.676 0.011
0.520 0.199 0.620
0.176 0.860 0.511
0.699 0.020 0.120
0.365 0.387 0.120
```

Properties
The calculation puts the density of states at the Fermi level at 3.63 states/eV/cell.


5.
Here is a relaxed B7C5 crystal from Alexandria. Energies are from PBE.

Geometry as POSCAR:
```
B7C5
1.0
5.804 0.344 0.005
-4.437 3.757 0.005
0.004 0.012 3.489
B C
7 5
Direct
0.549 0.064 0.261
0.196 0.804 0.500
0.330 0.670 0.000
0.477 0.523 0.500
0.936 0.451 0.739
0.325 0.138 0.766
0.862 0.675 0.234
0.652 0.348 0.000
0.839 0.161 0.500
0.698 0.864 0.750
0.000 0.000 0.000
0.136 0.302 0.250
```

Properties
The calculation puts the density of states at the Fermi level at 2.31 states/eV/cell.


6.
Here is a relaxed B7C5 crystal from Alexandria. Energies are from PBE.

Geometry as POSCAR:
```
B7C5
1.0
-3.910 0.010 -4.534
1.048 -2.214 5.737
-1.784 3.070 1.647
B C
7 5
Direct
0.514 0.543 0.527
0.363 0.228 0.826
0.169 0.276 0.251
0.800 0.642 0.207
0.822 0.171 0.519
0.368 0.738 0.958
0.134 0.750 0.460
0.988 0.488 0.764
0.680 0.846 0.759
0.510 0.013 0.238
0.977 0.983 0.993
0.673 0.324 0.997
```

Properties
The calculation puts the density of states at the Fermi level at 1.85 states/eV/cell.


7.
Here is a relaxed B3C crystal from Alexandria. Energies are from PBE.

Geometry as POSCAR:
```
B3C
1.0
-2.053 1.425 1.157
1.299 -1.729 4.435
1.920 3.916 -1.415
B C
6 2
Direct
0.500 0.404 0.619
0.500 0.596 0.381
0.000 0.344 0.299
0.000 0.088 0.860
0.000 0.912 0.140
0.000 0.656 0.701
0.500 0.123 0.699
0.500 0.877 0.301
```

Properties
The calculation puts the density of states at the Fermi level at 0.97 states/eV/cell.


8.
Here is a relaxed B3C crystal from Alexandria. Energies are from PBE.

Geometry as POSCAR:
```
B3C
1.0
5.287 0.750 -0.400
-3.255 -4.799 0.593
-1.407 0.197 -4.276
B C
9 3
Direct
0.225 0.714 0.292
0.346 0.981 0.983
0.290 0.451 0.737
0.355 0.288 0.072
0.868 0.322 0.611
0.466 0.980 0.664
0.718 0.625 0.026
0.743 0.369 0.218
0.990 0.568 0.928
0.974 0.982 0.988
0.472 0.711 0.534
0.803 0.010 0.699
```

Properties
The calculation puts the density of states at the Fermi level at 1.51 states/eV/cell.


Energy relative to the elements? In order: 0.3773; 0.4206; 0.3182; 0.4368; 0.4783; 0.3762; 0.3926; 0.5930 eV/atom.
M_tot? In order: 0.0; 0.0; 0.0; 0.0; 0.0; 0.0; 0.0; 0.0 Bohr magnetons per cell.